(1)
A plane-wave DFT calculation with PBE-GGA was carried out for an optimized crystal structure of BP3Pb.

Summary:
- DOS(E_F): 4.1 states/eV/f.u.
- SG: Pm-3m
- Spin magnetization: 0.0 μB per formula unit
- Energy above the most stable polymorph in this dataset: 0.000 eV per atom

Structure (POSCAR):
```
BP3Pb
1.0
4.3646 0.0000 0.0000
0.0000 4.3646 0.0000
0.0000 0.0000 4.3646
B P Pb
1 3 1
direct
0.0000 0.0000 0.0000
0.0000 0.0000 0.5000
0.0000 0.5000 0.0000
0.5000 0.0000 0.0000
0.5000 0.5000 0.5000
```

***

(2)
A plane-wave DFT calculation with PBE-GGA was carried out for an optimized crystal structure of Rb2LaAuI.

Summary:
- DOS(E_F): 5.9 states/eV/f.u.
- SG: P4/mmm
- Uncorrected formation energy: -135 kJ/mol of formula units
- Spin magnetization: 0.0 μB per formula unit

Structure (POSCAR):
```
Rb2LaAuI
1.0
6.7387 0.0000 0.0000
0.0000 6.7387 0.0000
0.0000 0.0000 5.6690
Rb La Au I
2 1 1 1
direct
0.0000 0.5000 0.0000
0.5000 0.0000 0.0000
0.0000 0.0000 0.5000
0.0000 0.0000 0.0000
0.5000 0.5000 0.5000
```

***

(3)
A plane-wave DFT calculation with PBE-GGA was carried out for an optimized crystal structure of Li5Mg4Pt2.

Summary:
- DOS(E_F): 3.8 states/eV/f.u.
- SG: P2/m
- Spin magnetization: 0.0 μB per formula unit

Structure (POSCAR):
```
Li5Mg4Pt2
1.0
7.3429 0.0000 0.0000
0.0000 2.9407 0.0000
-0.0229 0.0000 9.7379
Li Mg Pt
5 4 2
direct
0.0000 0.0000 0.0000
0.0643 0.0000 0.3253
0.3022 0.0000 0.8302
0.6978 0.0000 0.1698
0.9357 0.0000 0.6747
0.2948 0.5000 0.5532
0.3334 0.5000 0.1179
0.6666 0.5000 0.8821
0.7052 0.5000 0.4468
0.4231 0.0000 0.3384
0.5769 0.0000 0.6616
```

***

(4)
A plane-wave DFT calculation with PBE-GGA was carried out for an optimized crystal structure of PuMnCoGe2.

Summary:
- DOS(E_F): 11.5 states/eV/f.u.
- SG: I-4m2
- Spin magnetization: 8.0 μB per formula unit

Structure (POSCAR):
```
PuMnCoGe2
1.0
3.9687 0.0000 0.0000
0.0000 3.9687 0.0000
0.0000 0.0000 10.6165
Pu Mn Co Ge
2 2 2 4
direct
0.0000 0.0000 0.0000
0.5000 0.5000 0.5000
0.0000 0.5000 0.2500
0.5000 0.0000 0.7500
0.0000 0.5000 0.7500
0.5000 0.0000 0.2500
0.0000 0.0000 0.3779
0.0000 0.0000 0.6221
0.5000 0.5000 0.1221
0.5000 0.5000 0.8779
```

***

(5)
A plane-wave DFT calculation with PBE-GGA was carried out for an optimized crystal structure of Pm2MnGaPd6.

Summary:
- DOS(E_F): 3.6 states/eV/f.u.
- SG: R-3m
- Spin magnetization: 4.1 μB per formula unit

Structure (POSCAR):
```
Pm2MnGaPd6
1.0
2.8417 1.6406 7.6977
-2.8417 1.6406 7.6977
0.0000 -3.2813 7.6977
Pm Mn Ga Pd
2 1 1 6
direct
0.2065 0.2065 0.2065
0.7935 0.7935 0.7935
0.5000 0.5000 0.5000
0.0000 0.0000 0.0000
0.2482 0.7510 0.7510
0.2490 0.2490 0.7518
0.2490 0.7518 0.2490
0.7510 0.2482 0.7510
0.7510 0.7510 0.2482
0.7518 0.2490 0.2490
```

***

(6)
A plane-wave DFT calculation with PBE-GGA was carried out for an optimized crystal structure of Ca2Ge2Pb.

Summary:
- DOS(E_F): 4.4 states/eV/f.u.
- SG: I4/mmm
- Spin magnetization: 0.0 μB per formula unit

Structure (POSCAR):
```
Ca2Ge2Pb
1.0
4.9316 0.0000 0.0000
0.0000 4.9316 0.0000
0.0000 0.0000 11.7553
Ca Ge Pb
4 4 2
direct
0.0000 0.5000 0.2500
0.0000 0.5000 0.7500
0.5000 0.0000 0.2500
0.5000 0.0000 0.7500
0.0000 0.0000 0.1022
0.0000 0.0000 0.8978
0.5000 0.5000 0.3978
0.5000 0.5000 0.6022
0.0000 0.0000 0.5000
0.5000 0.5000 0.0000
```

***

(7)
A plane-wave DFT calculation with PBE-GGA was carried out for an optimized crystal structure of SrMg2Cu9.

Summary:
- DOS(E_F): 5.0 states/eV/f.u.
- SG: P4/mbm
- Spin magnetization: 0.0 μB per formula unit

Structure (POSCAR):
```
SrMg2Cu9
1.0
8.5104 0.0000 0.0000
0.0000 8.5104 0.0000
0.0000 0.0000 5.0575
Sr Mg Cu
2 4 18
direct
0.0000 0.0000 0.0000
0.5000 0.5000 0.0000
0.1199 0.3801 0.0000
0.3801 0.8801 0.0000
0.6199 0.1199 0.0000
0.8801 0.6199 0.0000
0.0000 0.5000 0.5000
0.0666 0.2129 0.5000
0.1768 0.6768 0.2458
0.1768 0.6768 0.7542
0.2129 0.9334 0.5000
0.2871 0.4334 0.5000
0.3232 0.1768 0.2458
0.3232 0.1768 0.7542
0.4334 0.7129 0.5000
0.5000 0.0000 0.5000
0.5666 0.2871 0.5000
0.6768 0.8232 0.2458
0.6768 0.8232 0.7542
0.7129 0.5666 0.5000
0.7871 0.0666 0.5000
0.8232 0.3232 0.2458
0.8232 0.3232 0.7542
0.9334 0.7871 0.5000
```

***

(8)
A plane-wave DFT calculation with PBE-GGA was carried out for an optimized crystal structure of ThPtRh4.

Summary:
- DOS(E_F): 8.4 states/eV/f.u.
- SG: Pmma
- Spin magnetization: 0.0 μB per formula unit
- Energy above the most stable polymorph in this dataset: 0.060 eV per atom

Structure (POSCAR):
```
ThPtRh4
1.0
7.8157 0.0000 0.0000
0.0000 4.0136 0.0000
0.0000 0.0000 6.7741
Th Pt Rh
2 2 8
direct
0.2500 0.0000 0.1639
0.7500 0.0000 0.8361
0.2500 0.0000 0.7608
0.7500 0.0000 0.2392
0.0000 0.0000 0.5000
0.0249 0.5000 0.7951
0.2500 0.5000 0.4787
0.4751 0.5000 0.7951
0.5000 0.0000 0.5000
0.5249 0.5000 0.2049
0.7500 0.5000 0.5213
0.9751 0.5000 0.2049
```

***

(9)
A plane-wave DFT calculation with PBE-GGA was carried out for an optimized crystal structure of KLiP3.

Summary:
- DOS(E_F): 4.5 states/eV/f.u.
- SG: Pm-3m
- Spin magnetization: 0.8 μB per formula unit
- Energy above the most stable polymorph in this dataset: 1.124 eV per atom

Structure (POSCAR):
```
KLiP3
1.0
5.3955 0.0000 0.0000
0.0000 5.3955 0.0000
0.0000 0.0000 5.3955
K Li P
1 1 3
direct
0.0000 0.0000 0.0000
0.5000 0.5000 0.5000
0.0000 0.0000 0.5000
0.0000 0.5000 0.0000
0.5000 0.0000 0.0000
```

***

(10)
A plane-wave DFT calculation with PBE-GGA was carried out for an optimized crystal structure of CeHoMgTc.

Summary:
- DOS(E_F): 5.1 states/eV/f.u.
- SG: P4mm
- Spin magnetization: 0.0 μB per formula unit
- Energy above the most stable polymorph in this dataset: 0.000 eV per atom

Structure (POSCAR):
```
CeHoMgTc
1.0
3.3889 0.0000 0.0000
0.0000 3.3889 0.0000
0.0000 0.0000 8.5370
Ce Ho Mg Tc
1 1 1 1
direct
0.0000 0.0000 0.0000
0.0000 0.0000 0.3961
0.5000 0.5000 0.6935
0.5000 0.5000 0.1891
```

***

(11)
A plane-wave DFT calculation with PBE-GGA was carried out for an optimized crystal structure of Sc2SiN.

Summary:
- DOS(E_F): 1.4 states/eV/f.u.
- SG: R-3m
- Uncorrected formation energy: -286 kJ/mol of formula units
- Spin magnetization: 0.0 μB per formula unit

Structure (POSCAR):
```
Sc2SiN
1.0
3.2233 0.0000 0.0000
-1.6117 2.7915 0.0000
0.0000 0.0000 23.2580
Sc Si N
6 3 3
direct
0.0000 0.0000 0.1156
0.0000 0.0000 0.8844
0.3333 0.6667 0.5511
0.3333 0.6667 0.7822
0.6667 0.3333 0.2178
0.6667 0.3333 0.4489
0.0000 0.0000 0.0000
0.3333 0.6667 0.6667
0.6667 0.3333 0.3333
0.0000 0.0000 0.5000
0.3333 0.6667 0.1667
0.6667 0.3333 0.8333
```

***

(12)
A plane-wave DFT calculation with PBE-GGA was carried out for an optimized crystal structure of ZnSeO.

Summary:
- DOS(E_F): 0.0 states/eV/f.u.
- SG: P-1
- Uncorrected formation energy: -192 kJ/mol of formula units
- Spin magnetization: 0.0 μB per formula unit

Structure (POSCAR):
```
ZnSeO
1.0
4.0274 0.0000 0.0000
1.9969 4.5290 0.0000
1.8003 1.3904 6.6837
Zn Se O
2 2 2
direct
0.0508 0.2324 0.1730
0.9492 0.7676 0.8270
0.3628 0.0596 0.6946
0.6372 0.9404 0.3054
0.1234 0.3228 0.8714
0.8766 0.6772 0.1286
```

***

(13)
A plane-wave DFT calculation with PBE-GGA was carried out for an optimized crystal structure of ErFe6.

Summary:
- DOS(E_F): 9.3 states/eV/f.u.
- SG: Im-3m
- Spin magnetization: 0.0 μB per formula unit

Structure (POSCAR):
```
ErFe6
1.0
5.9940 0.0000 0.0000
0.0000 5.9940 0.0000
0.0000 0.0000 5.9940
Er Fe
2 12
direct
0.0000 0.0000 0.0000
0.5000 0.5000 0.5000
0.0000 0.2500 0.5000
0.0000 0.5000 0.2500
0.0000 0.5000 0.7500
0.0000 0.7500 0.5000
0.2500 0.0000 0.5000
0.2500 0.5000 0.0000
0.5000 0.0000 0.2500
0.5000 0.0000 0.7500
0.5000 0.2500 0.0000
0.5000 0.7500 0.0000
0.7500 0.0000 0.5000
0.7500 0.5000 0.0000
```

***

(14)
A plane-wave DFT calculation with PBE-GGA was carried out for an optimized crystal structure of Zn2CoOs.

Summary:
- DOS(E_F): 4.8 states/eV/f.u.
- SG: I4/mmm
- Spin magnetization: 2.2 μB per formula unit
- Energy above the most stable polymorph in this dataset: 0.162 eV per atom

Structure (POSCAR):
```
Zn2CoOs
1.0
3.6909 0.0000 0.0000
0.0000 3.6909 0.0000
0.0000 0.0000 7.8294
Zn Co Os
4 2 2
direct
0.0000 0.5000 0.2500
0.0000 0.5000 0.7500
0.5000 0.0000 0.2500
0.5000 0.0000 0.7500
0.0000 0.0000 0.0000
0.5000 0.5000 0.5000
0.0000 0.0000 0.5000
0.5000 0.5000 0.0000
```

***

(15)
A plane-wave DFT calculation with PBE-GGA was carried out for an optimized crystal structure of Tb2SmY6Er.

Summary:
- DOS(E_F): 15.1 states/eV/f.u.
- SG: C2/c
- Spin magnetization: 0.0 μB per formula unit

Structure (POSCAR):
```
Tb2SmY6Er
1.0
4.5517 -7.5159 0.0000
4.5517 7.5159 0.0000
-1.3823 0.0000 9.5338
Tb Sm Y Er
4 2 12 2
direct
0.1973 0.2995 0.0463
0.2995 0.1973 0.5463
0.7005 0.8027 0.4537
0.8027 0.7005 0.9537
0.0230 0.9770 0.2500
0.9770 0.0230 0.7500
0.0157 0.5688 0.1842
0.1226 0.7504 0.5567
0.2496 0.8774 0.9433
0.2933 0.5067 0.3822
0.4312 0.9843 0.3158
0.4933 0.7067 0.1178
0.5067 0.2933 0.8822
0.5688 0.0157 0.6842
0.7067 0.4933 0.6178
0.7504 0.1226 0.0567
0.8774 0.2496 0.4433
0.9843 0.4312 0.8158
0.4090 0.5910 0.7500
0.5910 0.4090 0.2500
```

***

(16)
A plane-wave DFT calculation with PBE-GGA was carried out for an optimized crystal structure of CsNbCo2Cl.

Summary:
- DOS(E_F): 7.9 states/eV/f.u.
- SG: P4/mmm
- Uncorrected formation energy: 751 kJ/mol of formula units
- Spin magnetization: 5.9 μB per formula unit

Structure (POSCAR):
```
CsNbCo2Cl
1.0
4.3254 0.0000 0.0000
0.0000 4.3254 0.0000
0.0000 0.0000 5.8931
Cs Nb Co Cl
1 1 2 1
direct
0.0000 0.0000 0.0000
0.5000 0.5000 0.0000
0.0000 0.5000 0.5000
0.5000 0.0000 0.5000
0.0000 0.0000 0.5000
```

***

(17)
A plane-wave DFT calculation with PBE-GGA was carried out for an optimized crystal structure of UPt4Pb.

Summary:
- DOS(E_F): 9.6 states/eV/f.u.
- SG: F-43m
- Spin magnetization: 2.1 μB per formula unit

Structure (POSCAR):
```
UPt4Pb
1.0
0.0000 3.8518 3.8518
3.8518 0.0000 3.8518
3.8518 3.8518 0.0000
U Pt Pb
1 4 1
direct
0.0000 0.0000 0.0000
0.3749 0.3749 0.3749
0.3749 0.3749 0.8752
0.3749 0.8752 0.3749
0.8752 0.3749 0.3749
0.7500 0.7500 0.7500
```

***

(18)
A plane-wave DFT calculation with PBE-GGA was carried out for an optimized crystal structure of SmCo3.

Summary:
- DOS(E_F): 5.8 states/eV/f.u.
- SG: R-3m
- Spin magnetization: 3.5 μB per formula unit

Structure (POSCAR):
```
SmCo3
1.0
2.5112 1.4499 8.2162
-2.5112 1.4499 8.2162
0.0000 -2.8997 8.2162
Sm Co
3 9
direct
0.0000 0.0000 0.0000
0.1399 0.1399 0.1399
0.8601 0.8601 0.8601
0.0806 0.5800 0.5800
0.3341 0.3341 0.3341
0.4200 0.4200 0.9194
0.4200 0.9194 0.4200
0.5000 0.5000 0.5000
0.5800 0.0806 0.5800
0.5800 0.5800 0.0806
0.6659 0.6659 0.6659
0.9194 0.4200 0.4200
```

***

(19)
A plane-wave DFT calculation with PBE-GGA was carried out for an optimized crystal structure of YTh2AgRh5.

Summary:
- DOS(E_F): 8.8 states/eV/f.u.
- SG: I4/mcm
- Spin magnetization: 0.0 μB per formula unit

Structure (POSCAR):
```
YTh2AgRh5
1.0
-4.1517 4.1517 5.5928
4.1517 -4.1517 5.5928
4.1517 4.1517 -5.5928
Y Th Ag Rh
2 4 2 10
direct
0.2500 0.2500 0.0000
0.7500 0.7500 0.0000
0.1396 0.6396 0.7792
0.3604 0.1396 0.5000
0.6396 0.8604 0.5000
0.8604 0.3604 0.2208
0.2500 0.7500 0.5000
0.7500 0.2500 0.5000
0.0000 0.0000 0.0000
0.0567 0.1706 0.5000
0.1706 0.6706 0.1139
0.3294 0.4433 0.5000
0.4433 0.9433 0.1139
0.5000 0.5000 0.0000
0.5567 0.0567 0.8861
0.6706 0.5567 0.5000
0.8294 0.3294 0.8861
0.9433 0.8294 0.5000
```

***

(20)
A plane-wave DFT calculation with PBE-GGA was carried out for an optimized crystal structure of PmTeO4.

Summary:
- DOS(E_F): 2.9 states/eV/f.u.
- SG: Pnc2
- Uncorrected formation energy: -1134 kJ/mol of formula units
- Spin magnetization: 0.4 μB per formula unit
- Energy above the most stable polymorph in this dataset: 0.000 eV per atom

Structure (POSCAR):
```
PmTeO4
1.0
5.2533 0.0000 0.0000
0.0000 5.6681 0.0000
0.0000 0.0000 5.6680
Pm Te O
2 2 8
direct
0.0000 0.0000 0.0000
0.0000 0.5000 0.5000
0.5000 0.0000 0.5016
0.5000 0.5000 0.0016
0.2494 0.1862 0.6857
0.2494 0.3138 0.1857
0.2549 0.6872 0.8124
0.2549 0.8128 0.3124
0.7451 0.1872 0.3124
0.7451 0.3128 0.8124
0.7506 0.6862 0.1857
0.7506 0.8138 0.6857
```

***

no.,calculated total energy (Ry per atom)
1,-0.334
2,-0.192
3,-0.213
4,-0.610
5,-0.424
6,-0.263
7,-0.263
8,-0.550
9,-0.165
10,-0.419
11,-0.540
12,-0.287
13,-0.538
14,-0.367
15,-0.413
16,-0.282
17,-0.514
18,-0.485
19,-0.519
20,-0.484